# 1
A relaxed structure of PuZn2Au4. Source: OQMD via LeMat-Bulk, functional PBE-GGA.

a = 8.829 Å, b = 7.015 Å, c = 5.353 Å
α = 90.00°, β = 127.18°, γ = 90.00°
Space group C2/m (No. 12)
Symmetry-distinct sites (fractional):
Pu1 0.000 0.000 0.000 [2 per cell]
Zn1 0.000 0.500 0.249 [4 per cell]
Au1 0.199 0.200 0.699 [8 per cell]

Energy of formation from the pure elements in eV/atom: -0.388
Magnetic moment in μB/atom: 0.79

# 2
A relaxed structure of Pu2Zn15Au2. Source: OQMD via LeMat-Bulk, functional PBE-GGA.

a = 9.0057 Å, b = 9.0057 Å, c = 13.1867 Å
α = 90.00°, β = 90.00°, γ = 120.00°
Space group R-3m (No. 166, hexagonal axes)
Symmetry-distinct sites (fractional):
Pu1 0.0000 0.0000 0.1551 [6 per cell]
Zn1 0.0000 0.2976 0.5000 [18 per cell]
Zn2 0.0000 0.5000 0.0000 [9 per cell]
Zn3 0.0115 0.5057 0.6507 [18 per cell]
Au1 0.0000 0.0000 0.3874 [6 per cell]

Energy of formation from the pure elements in eV/atom: 0.041
Magnetic moment in μB/atom: 0.02

# 3
A relaxed structure of PuZnAu. Source: OQMD via LeMat-Bulk, functional PBE-GGA.

a = 6.579 Å, b = 6.579 Å, c = 6.579 Å
α = 90.00°, β = 90.00°, γ = 90.00°
Space group F-43m (No. 216)
Symmetry-distinct sites (fractional):
Pu1 0.000 0.000 0.000 [4 per cell]
Zn1 0.250 0.250 0.750 [4 per cell]
Au1 0.000 0.000 0.500 [4 per cell]

Energy of formation from the pure elements in eV/atom: -0.105
Magnetic moment in μB/atom: 1.98

# 4
A relaxed structure of Pu3Zn2Au4. Source: OQMD via LeMat-Bulk, functional PBE-GGA.

a = 10.370 Å, b = 4.844 Å, c = 8.901 Å
α = 90.00°, β = 124.33°, γ = 90.00°
Space group C2/m (No. 12)
Symmetry-distinct sites (fractional):
Pu1 0.000 0.000 0.000 [2 per cell]
Pu2 0.163 0.500 0.668 [4 per cell]
Zn1 0.115 0.500 0.284 [4 per cell]
Au1 0.065 0.000 0.390 [4 per cell]
Au2 0.213 0.500 0.058 [4 per cell]

Energy of formation from the pure elements in eV/atom: -0.515
Magnetic moment in μB/atom: 1.91

# 5
A relaxed structure of Rb5Au4. Source: OQMD via LeMat-Bulk, functional PBE-GGA.

a = 12.439 Å, b = 5.087 Å, c = 11.967 Å
α = 90.00°, β = 113.76°, γ = 90.00°
Space group C2/m (No. 12)
Symmetry-distinct sites (fractional):
Rb1 0.000 0.000 0.000 [2 per cell]
Rb2 0.103 0.000 0.400 [4 per cell]
Rb3 0.249 0.000 0.821 [4 per cell]
Au1 0.056 0.500 0.829 [4 per cell]
Au2 0.106 0.500 0.612 [4 per cell]

Excess energy over the best structure of this formula in the dataset in meV per atom: 0

# 6
A relaxed structure of Rb2Au3. Source: OQMD via LeMat-Bulk, functional PBE-GGA.

a = 5.022 Å, b = 5.570 Å, c = 10.534 Å
α = 90.00°, β = 90.00°, γ = 90.00°
Space group Imm2 (No. 44)
Symmetry-distinct sites (fractional):
Rb1 0.000 0.000 0.000 [2 per cell]
Rb2 0.000 0.000 0.392 [2 per cell]
Au1 0.000 0.253 0.697 [4 per cell]
Au2 0.000 0.500 0.195 [2 per cell]

DFT total energy in eV per atom: -2.652

# 7
A relaxed structure of Rb3Au2. Source: OQMD via LeMat-Bulk, functional PBE-GGA.

a = 8.5160 Å, b = 8.5160 Å, c = 21.5848 Å
α = 90.00°, β = 90.00°, γ = 120.00°
Space group R-3 (No. 148, hexagonal axes)
Symmetry-distinct sites (fractional):
Rb1 0.0172 0.7077 0.2496 [18 per cell]
Au1 0.0000 0.0000 0.0000 [3 per cell]
Au2 0.0000 0.0000 0.1368 [6 per cell]
Au3 0.0000 0.0000 0.5000 [3 per cell]

DFT total energy in eV per atom: -2.074

# 8
A relaxed structure of Rb5Au4. Source: OQMD via LeMat-Bulk, functional PBE-GGA.

a = 12.196 Å, b = 5.040 Å, c = 11.823 Å
α = 90.00°, β = 114.73°, γ = 90.00°
Space group C2/m (No. 12)
Symmetry-distinct sites (fractional):
Rb1 0.000 0.000 0.000 [2 per cell]
Rb2 0.104 0.000 0.400 [4 per cell]
Rb3 0.248 0.500 0.174 [4 per cell]
Au1 0.057 0.500 0.832 [4 per cell]
Au2 0.110 0.500 0.614 [4 per cell]

Excess energy over the best structure of this formula in the dataset in meV per atom: 10

# 9
A relaxed structure of Rb4Au. Source: OQMD via LeMat-Bulk, functional PBE-GGA.

a = 8.534 Å, b = 10.048 Å, c = 8.536 Å
α = 90.00°, β = 110.29°, γ = 90.00°
Space group P2_1/m (No. 11)
Symmetry-distinct sites (fractional):
Rb1 0.244 0.000 0.245 [4 per cell]
Rb2 0.247 0.250 0.755 [2 per cell]
Rb3 0.249 0.750 0.751 [2 per cell]
Au1 0.002 0.750 0.998 [2 per cell]

DFT total energy in eV per atom: -1.547

# 10
A relaxed structure of RbReAu. Source: OQMD via LeMat-Bulk, functional PBE-GGA.

a = 7.202 Å, b = 7.202 Å, c = 7.202 Å
α = 90.00°, β = 90.00°, γ = 90.00°
Space group F-43m (No. 216)
Symmetry-distinct sites (fractional):
Rb1 0.000 0.000 0.000 [4 per cell]
Re1 0.000 0.000 0.500 [4 per cell]
Au1 0.250 0.250 0.250 [4 per cell]

Magnetic moment in μB/atom: 1.50
Excess energy over the best structure of this formula in the dataset in meV per atom: 0

# 11
A relaxed structure of RbReAuSe2S. Source: OQMD via LeMat-Bulk, functional PBE-GGA.

a = 3.860 Å, b = 15.743 Å, c = 9.964 Å
α = 90.00°, β = 90.00°, γ = 90.00°
Space group Cmcm (No. 63)
Symmetry-distinct sites (fractional):
Rb1 0.000 0.249 0.250 [4 per cell]
Re1 0.000 0.000 0.000 [4 per cell]
Au1 0.000 0.441 0.750 [4 per cell]
Se1 0.000 0.389 0.513 [8 per cell]
S1 0.000 0.052 0.750 [4 per cell]

Magnetic moment in μB/atom: 0.43
DFT total energy in eV per atom: -4.742

# 12
A relaxed structure of RbReTe2AuSe. Source: OQMD via LeMat-Bulk, functional PBE-GGA.

a = 4.052 Å, b = 16.404 Å, c = 10.527 Å
α = 90.00°, β = 90.00°, γ = 90.00°
Space group Cmcm (No. 63)
Symmetry-distinct sites (fractional):
Rb1 0.000 0.240 0.250 [4 per cell]
Re1 0.000 0.000 0.000 [4 per cell]
Te1 0.000 0.384 0.517 [8 per cell]
Au1 0.000 0.451 0.750 [4 per cell]
Se1 0.000 0.057 0.750 [4 per cell]

Magnetic moment in μB/atom: 0.41
DFT total energy in eV per atom: -4.409